# 1
Here is a relaxed structure of TmCoNO from OQMD via LeMat-Bulk. Energies are from PBE with a Hubbard U.

Energy relative to the lowest polymorph listed for this composition in meV/atom: 0
SG: Pmc2_1

a b c (Å): 3.6988 4.7915 6.0120
angles (deg): 90.00 90.00 90.00
Last column: nearest neighbours and their distance in Å.
Sites, in units of the cell vectors:
1 Co 0.5000 0.9607 0.1901  2 O 1.98-2.17, 2 N 2.02
2 Co 0.5000 0.4607 0.8099  2 O 1.98-2.17, 2 N 2.02
3 N 0.0000 0.9374 0.3225  2 Co 2.02, 1 Tm 2.23
4 N 0.0000 0.4374 0.6775  2 Co 2.02, 1 Tm 2.23
5 O 0.5000 0.4093 0.1373  2 Co 1.98-2.17, 2 Tm 2.12
6 O 0.5000 0.9093 0.8627  2 Co 1.98-2.17, 2 Tm 2.12
7 Tm 0.0000 0.4466 0.3069  2 O 2.12, 2 N 2.23-2.35
8 Tm 0.0000 0.9466 0.6931  2 O 2.12, 2 N 2.23-2.35

# 2
Here is a relaxed structure of TmCoNO from OQMD via LeMat-Bulk. Energies are from PBE with a Hubbard U.

Energy relative to the lowest polymorph listed for this composition in meV/atom: 81
SG: P4/nmm

a b c (Å): 4.6054 4.6054 4.4596
angles (deg): 90.00 90.00 90.00
Last column: nearest neighbours and their distance in Å.
Sites, in units of the cell vectors:
1 Co 0.2500 0.2500 0.0017  2 N 2.23, 4 O 2.30
2 Co 0.7500 0.7500 0.9983  2 N 2.23, 4 O 2.30
3 N 0.7500 0.7500 0.4982  2 Co 2.23, 4 Tm 2.30
4 N 0.2500 0.2500 0.5018  2 Co 2.23, 4 Tm 2.30
5 O 0.7500 0.2500 0.0000  2 Tm 2.23, 4 Co 2.30
6 O 0.2500 0.7500 0.0000  2 Tm 2.23, 4 Co 2.30
7 Tm 0.7500 0.2500 0.5000  2 O 2.23, 4 N 2.30
8 Tm 0.2500 0.7500 0.5000  2 O 2.23, 4 N 2.30